[1]
VASP calculation (PBE) on BeFeN after structural relaxation.

Output
As for the space-group type: P4/mmm, No. 123. The energy relative to the elements, uncorrected is -0.119 eV/atom.

Cell lengths 2.9257, 2.9257, 3.1786 Å; angles 90.00, 90.00, 90.00 degrees
Atoms (fractional coordinates):
Be 0.0000 0.0000 0.0000
Fe 0.5000 0.5000 0.5000
N 0.0000 0.0000 0.5000

[2]
VASP calculation (PBE) on TcNiB after structural relaxation.

Output
As for the space-group type: Cm, No. 8. The formation energy comes out at -0.5 eV/f.u.

Cell lengths 5.3818, 5.3818, 4.2665 Å; angles 100.78, 100.78, 31.15 degrees
Atoms (fractional coordinates):
Tc 0.0000 0.0000 0.0000
Tc 0.5801 0.5801 0.5421
Ni 0.2804 0.2804 0.8894
Ni 0.8494 0.8494 0.4295
B 0.2052 0.2052 0.3345
B 0.6690 0.6690 0.0811

[3]
VASP calculation (PBE) on Rb3CePm2Se6 after structural relaxation.

Output
As for the space-group type: C2/m, No. 12. The energy relative to the elements, uncorrected is -1.716 eV/atom.

Cell lengths 7.5753, 7.5753, 8.3957 Å; angles 98.65, 98.65, 120.00 degrees
Atoms (fractional coordinates):
Rb 0.0000 0.0000 0.0000
Rb 0.3333 0.6667 0.0000
Rb 0.6667 0.3333 0.0000
Ce 0.5000 0.5000 0.5000
Pm 0.1666 0.8334 0.5000
Pm 0.8334 0.1666 0.5000
Se 0.0981 0.4335 0.3004
Se 0.2311 0.2311 0.6997
Se 0.4335 0.0981 0.3004
Se 0.5665 0.9019 0.6996
Se 0.7689 0.7689 0.3003
Se 0.9019 0.5665 0.6996

[4]
VASP calculation (PBE) on LaTi2Cd after structural relaxation.

Output
As for the space-group type: I-42d, No. 122. The formation energy comes out at 2.0 eV/f.u.

Cell lengths 10.7800, 10.7800, 10.7800 Å; angles 156.71, 156.71, 33.17 degrees
Atoms (fractional coordinates):
La 0.0000 0.0000 0.0000
La 0.7500 0.2500 0.5000
Ti 0.1416 0.6250 0.0166
Ti 0.3750 0.3916 0.5166
Ti 0.6084 0.1250 0.9834
Ti 0.8750 0.8584 0.4834
Cd 0.2500 0.7500 0.5000
Cd 0.5000 0.5000 0.0000